A relaxed Bi2AsIr crystal, computed with PBEsol.

Unit cell a=6.367 b=6.367 c=7.533 alpha=115.00 beta=115.00 gamma=90.00
Positions (direct):
As 0.750 0.250 0.500
As 0.500 0.500 0.000
Ir 0.250 0.750 0.500
Ir 0.000 0.000 0.000
Bi 0.345 0.875 0.250
Bi 0.905 0.375 0.250
Bi 0.125 0.095 0.750
Bi 0.625 0.655 0.750

Calculated values
SG: I-42d (122)
DOS(E_F) (states/eV/cell): 3.1
Raw total energy (eV per cell): -43.4
ΔH_f (0 K) (eV per atom): 0.456

=====

A relaxed CaAg4W crystal, computed with PBEsol.

Unit cell a=5.412 b=5.412 c=5.412 alpha=60.00 beta=60.00 gamma=60.00
Site moments in Bohr magnetons follow the coordinates.
Positions (direct):
Ag 0.375 0.375 0.375  0.03
Ag 0.375 0.375 0.876  0.03
Ag 0.876 0.375 0.375  0.03
Ag 0.375 0.876 0.375  0.03
Ca 0.750 0.750 0.750  0.05
W 0.000 0.000 0.000  2.03

Calculated values
SG: F-43m (216)
DOS(E_F) (states/eV/cell): 4.0
Raw total energy (eV per cell): -25.9
ΔH_f (0 K) (eV per atom): 0.545

=====

A relaxed Ca2NiBr crystal, computed with PBEsol.

Unit cell a=4.042 b=4.042 c=6.514 alpha=108.07 beta=108.07 gamma=90.00
Positions (direct):
Ni 0.500 0.500 0.000
Ca 0.000 0.000 0.000
Ca 0.750 0.250 0.500
Br 0.250 0.750 0.500

Calculated values
SG: I-4m2 (119)
DOS(E_F) (states/eV/cell): 2.5
Raw total energy (eV per cell): -13.7
Offset from the most stable computed form (meV per atom): 309.1

=====

A relaxed LiAlAsBr2 crystal, computed with PBEsol.

Unit cell a=4.742 b=4.742 c=4.985 alpha=90.00 beta=90.00 gamma=90.00
Positions (direct):
As 0.000 0.000 0.500
Al 0.500 0.500 0.500
Br 0.000 0.500 0.000
Br 0.500 0.000 0.000
Li 0.000 0.000 0.000

Calculated values
SG: P4/mmm (123)
DOS(E_F) (states/eV/cell): 4.1
Raw total energy (eV per cell): -14.7

=====

A relaxed Mg2NiMo crystal, computed with PBEsol.

Unit cell a=3.850 b=3.850 c=4.100 alpha=90.00 beta=90.00 gamma=90.00
Site moments in Bohr magnetons follow the coordinates.
Positions (direct):
Mg 0.000 0.500 0.000  0.00
Mg 0.500 0.000 0.000  0.00
Mo 0.500 0.500 0.500  0.72
Ni 0.000 0.000 0.500  0.47

Calculated values
SG: P4/mmm (123)
DOS(E_F) (states/eV/cell): 4.5
Raw total energy (eV per cell): -19.8
Offset from the most stable computed form (meV per atom): 18.9
ΔH_f (0 K) (eV per atom): 0.378

=====

A relaxed KCrF3 crystal, computed with PBEsol.

Unit cell a=4.554 b=4.554 c=4.554 alpha=90.00 beta=90.00 gamma=90.00
Site moments in Bohr magnetons follow the coordinates.
Positions (direct):
Cr 0.500 0.500 0.500  4.05
K 0.000 0.000 0.000  0.03
F 0.000 0.500 0.000  0.04
F 0.000 0.000 0.500  0.04
F 0.500 0.000 0.000  0.04

Calculated values
SG: Pm-3m (221)
DOS(E_F) (states/eV/cell): 14.8
Raw total energy (eV per cell): -21.9

=====

A relaxed LiTeO2 crystal, computed with PBEsol.

Unit cell a=3.646 b=3.646 c=5.896 alpha=71.99 beta=71.99 gamma=60.00
Positions (direct):
Te 0.500 0.500 0.500
O 0.891 0.891 0.327
O 0.109 0.109 0.673
Li 0.000 0.000 0.000

Calculated values
SG: R-3m (166)
DOS(E_F) (states/eV/cell): 1.3
Raw total energy (eV per cell): -19.7

=====

A relaxed LiTiMnRu2 crystal, computed with PBEsol.

Unit cell a=3.822 b=4.146 c=4.146 alpha=90.00 beta=90.00 gamma=90.00
Site moments in Bohr magnetons follow the coordinates.
Positions (direct):
Ru 0.000 0.000 0.500  0.01
Ru 0.000 0.500 0.000  0.01
Mn 0.500 0.000 0.000  3.08
Li 0.000 0.000 0.000  0.03
Ti 0.500 0.500 0.500  0.05

Calculated values
SG: P4/mmm (123)
DOS(E_F) (states/eV/cell): 4.0
Raw total energy (eV per cell): -36.8
ΔH_f (0 K) (eV per atom): 0.720

=====

A relaxed Li2NiP4O12 crystal, computed with PBEsol.

Unit cell a=4.636 b=8.550 c=10.220 alpha=90.01 beta=90.00 gamma=90.00
Site moments in Bohr magnetons follow the coordinates.
Positions (direct):
Li 0.462 0.031 0.976  0.00
Li 0.462 0.969 0.476  0.00
Li 0.538 0.531 0.476  0.00
Li 0.538 0.469 0.976  0.00
Ni 0.500 0.250 0.689  1.64
Ni 0.500 0.750 0.189  1.64
P 0.008 0.005 0.255  0.01
P 0.000 0.250 0.460  0.01
P 0.000 0.250 0.058  0.00
P 0.992 0.495 0.255  0.01
P 0.992 0.505 0.755  0.01
P 0.000 0.750 0.960  0.01
P 0.000 0.750 0.558  0.00
P 0.008 0.995 0.755  0.01
O 0.760 0.071 0.687  0.04
O 0.249 0.089 0.813  0.04
O 0.160 0.129 0.158  0.01
O 0.862 0.122 0.363  0.01
O 0.246 0.170 0.530  0.05
O 0.765 0.168 0.989  0.00
O 0.753 0.329 0.530  0.05
O 0.235 0.333 0.989  0.00
O 0.841 0.371 0.159  0.01
O 0.138 0.379 0.363  0.01
O 0.750 0.411 0.813  0.04
O 0.240 0.429 0.686  0.04
O 0.751 0.589 0.313  0.04
O 0.240 0.571 0.187  0.04
O 0.138 0.621 0.863  0.01
O 0.840 0.629 0.658  0.01
O 0.236 0.668 0.489  0.00
O 0.754 0.670 0.030  0.05
O 0.247 0.829 0.030  0.05
O 0.765 0.833 0.489  0.00
O 0.862 0.879 0.863  0.01
O 0.160 0.871 0.659  0.01
O 0.250 0.911 0.313  0.04
O 0.760 0.929 0.186  0.04

Calculated values
SG: Pnc2 (30)
Raw total energy (eV per cell): -269.0
Offset from the most stable computed form (meV per atom): 50.3

=====

A relaxed RbNbSb2I crystal, computed with PBEsol.

Unit cell a=5.309 b=5.309 c=6.006 alpha=90.00 beta=90.00 gamma=90.00
Positions (direct):
I 0.000 0.000 0.500
Sb 0.000 0.500 0.000
Sb 0.500 0.000 0.000
Nb 0.000 0.000 0.000
Rb 0.500 0.500 0.500

Calculated values
SG: P4/mmm (123)
DOS(E_F) (states/eV/cell): 2.2
Raw total energy (eV per cell): -23.6

=====

A relaxed Co2SiBi2 crystal, computed with PBEsol.

Unit cell a=3.413 b=3.413 c=8.616 alpha=101.42 beta=101.42 gamma=90.00
Site moments in Bohr magnetons follow the coordinates.
Positions (direct):
Si 0.000 0.000 0.000  -0.03
Co 0.250 0.750 0.500  1.38
Co 0.750 0.250 0.500  1.38
Bi 0.380 0.380 0.759  -0.04
Bi 0.620 0.620 0.241  -0.04

Calculated values
SG: I4/mmm (139)
DOS(E_F) (states/eV/cell): 5.5
Raw total energy (eV per cell): -27.2

=====

A relaxed TiCo3H crystal, computed with PBEsol.

Unit cell a=3.568 b=3.568 c=3.568 alpha=90.00 beta=90.00 gamma=90.00
Positions (direct):
H 0.000 0.000 0.000
Co 0.000 0.500 0.000
Co 0.000 0.000 0.500
Co 0.500 0.000 0.000
Ti 0.500 0.500 0.500

Calculated values
SG: Pm-3m (221)
DOS(E_F) (states/eV/cell): 3.1
Raw total energy (eV per cell): -36.5
Offset from the most stable computed form (meV per atom): 0.0

=====

A relaxed Li3Co3SbO8 crystal, computed with PBEsol.

Unit cell a=5.787 b=5.785 c=5.867 alpha=119.54 beta=90.00 gamma=120.01
Site moments in Bohr magnetons follow the coordinates.
Positions (direct):
Sb 0.000 0.000 0.500  0.00
Co 0.500 0.000 0.500  0.00
Co 0.000 0.500 0.500  0.00
Co 0.500 0.500 0.500  0.31
O 0.733 0.465 0.698  0.31
O 0.267 0.535 0.302  0.31
O 0.242 0.483 0.723  0.00
O 0.758 0.517 0.277  -0.01
O 0.740 0.981 0.723  -0.01
O 0.260 0.019 0.277  0.01
O 0.242 0.981 0.723  0.01
O 0.758 0.019 0.277  0.01
Li 0.000 0.000 0.000  0.01
Li 0.500 0.500 0.000  0.01
Li 0.000 0.500 0.000  0.01

Calculated values
SG: R-3m (166)
DOS(E_F) (states/eV/cell): 4.3
Raw total energy (eV per cell): -96.3

=====

A relaxed KNaLi2Ca crystal, computed with PBEsol.

Unit cell a=5.765 b=5.765 c=6.316 alpha=90.00 beta=90.00 gamma=90.00
Positions (direct):
Na 0.000 0.000 0.000
Ca 0.000 0.000 0.500
K 0.500 0.500 0.500
Li 0.000 0.500 0.000
Li 0.500 0.000 0.000

Calculated values
SG: P4/mmm (123)
DOS(E_F) (states/eV/cell): 3.7
Raw total energy (eV per cell): -7.0
ΔH_f (0 K) (eV per atom): 0.328

=====

A relaxed Al2CrSe crystal, computed with PBEsol.

Unit cell a=3.175 b=4.087 c=4.982 alpha=90.00 beta=108.58 gamma=90.00
Site moments in Bohr magnetons follow the coordinates.
Positions (direct):
Cr 0.819 0.000 0.638  1.17
Al 0.087 0.000 0.174  -0.02
Al 0.414 0.500 0.829  -0.03
Se 0.683 0.500 0.367  -0.02

Calculated values
SG: Amm2 (38)
DOS(E_F) (states/eV/cell): 2.4
Raw total energy (eV per cell): -22.3

=====

A relaxed SrNb2PbI crystal, computed with PBEsol.

Unit cell a=5.062 b=5.062 c=5.863 alpha=90.00 beta=90.00 gamma=90.00
Positions (direct):
Pb 0.500 0.500 0.500
I 0.000 0.000 0.000
Nb 0.000 0.500 0.000
Nb 0.500 0.000 0.000
Sr 0.000 0.000 0.500

Calculated values
SG: P4/mmm (123)
DOS(E_F) (states/eV/cell): 7.7
Raw total energy (eV per cell): -23.8

=====

A relaxed Rb2OsPd crystal, computed with PBEsol.

Unit cell a=5.374 b=5.374 c=5.374 alpha=60.00 beta=60.00 gamma=60.00
Site moments in Bohr magnetons follow the coordinates.
Positions (direct):
Os 0.500 0.500 0.500  2.08
Rb 0.250 0.250 0.250  0.01
Rb 0.750 0.750 0.750  0.01
Pd 0.000 0.000 0.000  0.06

Calculated values
SG: Fm-3m (225)
DOS(E_F) (states/eV/cell): 8.3
Raw total energy (eV per cell): -12.8
ΔH_f (0 K) (eV per atom): 1.863

=====

A relaxed La3In crystal, computed with PBEsol.

Unit cell a=5.551 b=7.142 c=7.142 alpha=119.91 beta=90.00 gamma=90.00
Positions (direct):
In 0.750 0.666 0.334
In 0.250 0.334 0.666
La 0.750 0.179 0.821
La 0.250 0.821 0.179
La 0.750 0.642 0.823
La 0.250 0.358 0.177
La 0.250 0.823 0.642
La 0.750 0.177 0.358

Calculated values
SG: Cmcm (63)
DOS(E_F) (states/eV/cell): 10.4
Raw total energy (eV per cell): -40.6
Offset from the most stable computed form (meV per atom): 10.8
ΔH_f (0 K) (eV per atom): -0.316

=====

A relaxed Be2Ag2H crystal, computed with PBEsol.

Unit cell a=4.033 b=5.292 c=5.292 alpha=90.00 beta=90.00 gamma=90.00
Positions (direct):
Be 0.000 0.346 0.846
Be 0.000 0.846 0.654
Be 0.000 0.654 0.154
Be 0.000 0.154 0.346
Ag 0.500 0.172 0.672
Ag 0.500 0.672 0.828
Ag 0.500 0.828 0.328
Ag 0.500 0.328 0.172
H 0.000 0.000 0.000
H 0.000 0.500 0.500

Calculated values
SG: P4/mbm (127)
DOS(E_F) (states/eV/cell): 2.8
Raw total energy (eV per cell): -31.6

=====

A relaxed LiCaAu4 crystal, computed with PBEsol.

Unit cell a=5.490 b=5.490 c=5.490 alpha=60.00 beta=60.00 gamma=60.00
Positions (direct):
Ca 0.750 0.750 0.750
Au 0.375 0.375 0.375
Au 0.375 0.375 0.876
Au 0.876 0.375 0.375
Au 0.375 0.876 0.375
Li 0.000 0.000 0.000

Calculated values
SG: F-43m (216)
DOS(E_F) (states/eV/cell): 2.0
Raw total energy (eV per cell): -22.9
ΔH_f (0 K) (eV per atom): -0.519

=====

A relaxed Na2ZnPd2 crystal, computed with PBEsol.

Unit cell a=3.491 b=3.491 c=7.491 alpha=103.48 beta=103.48 gamma=90.00
Positions (direct):
Na 0.250 0.750 0.500
Na 0.750 0.250 0.500
Zn 0.000 0.000 0.000
Pd 0.409 0.409 0.819
Pd 0.591 0.591 0.181

Calculated values
SG: I4/mmm (139)
DOS(E_F) (states/eV/cell): 1.7
Raw total energy (eV per cell): -15.0
Offset from the most stable computed form (meV per atom): 408.5
ΔH_f (0 K) (eV per atom): 0.263

=====

A relaxed BeAlSi2 crystal, computed with PBEsol.

Unit cell a=3.653 b=3.781 c=3.781 alpha=89.97 beta=90.00 gamma=90.00
Positions (direct):
Be 0.500 0.500 0.500
Si 0.000 0.500 0.000
Si 0.000 0.000 0.500
Al 0.500 0.000 0.000

Calculated values
SG: P4/mmm (123)
DOS(E_F) (states/eV/cell): 1.2
Raw total energy (eV per cell): -18.4

=====

A relaxed AgGePb3 crystal, computed with PBEsol.

Unit cell a=5.365 b=5.365 c=5.365 alpha=90.00 beta=90.00 gamma=90.00
Positions (direct):
Pb 0.000 0.500 0.000
Pb 0.000 0.000 0.500
Pb 0.500 0.000 0.000
Ge 0.500 0.500 0.500
Ag 0.000 0.000 0.000

Calculated values
SG: Pm-3m (221)
DOS(E_F) (states/eV/cell): 3.1
Raw total energy (eV per cell): -17.2
ΔH_f (0 K) (eV per atom): 0.603

=====

A relaxed BaTe2Os crystal, computed with PBEsol.

Unit cell a=3.800 b=3.800 c=8.050 alpha=90.00 beta=90.00 gamma=90.00
Positions (direct):
Ba 0.000 0.000 0.481
Os 0.500 0.500 0.905
Te 0.000 0.000 0.888
Te 0.500 0.500 0.226

Calculated values
SG: P4mm (99)
DOS(E_F) (states/eV/cell): 4.3
Raw total energy (eV per cell): -21.0
Offset from the most stable computed form (meV per atom): 173.1

=====

A relaxed HfZr2Ir crystal, computed with PBEsol.

Unit cell a=4.722 b=4.722 c=4.722 alpha=60.00 beta=60.00 gamma=60.00
Positions (direct):
Ir 0.500 0.500 0.500
Hf 0.000 0.000 0.000
Zr 0.250 0.250 0.250
Zr 0.750 0.750 0.750

Calculated values
SG: Fm-3m (225)
DOS(E_F) (states/eV/cell): 4.7
Raw total energy (eV per cell): -39.8
ΔH_f (0 K) (eV per atom): -0.325

=====

A relaxed CrCo2 crystal, computed with PBEsol.

Unit cell a=2.437 b=2.437 c=5.990 alpha=90.00 beta=90.00 gamma=120.00
Positions (direct):
Co 0.667 0.333 0.330
Co 0.333 0.667 0.670
Cr 0.000 0.000 0.000

Calculated values
SG: P-3m1 (164)
DOS(E_F) (states/eV/cell): 3.7
Raw total energy (eV per cell): -25.4
ΔH_f (0 K) (eV per atom): 0.098